[1]
# PBE-GGA LiHgMo2, relaxed
data_LiHgMo2
_space_group_name_H-M_alt 'P 1'
_space_group_IT_number 1
_cell_length_a 4.5200
_cell_length_b 4.5200
_cell_length_c 4.5200
_cell_angle_alpha 60.00
_cell_angle_beta 60.00
_cell_angle_gamma 60.00
loop_
_space_group_symop_operation_xyz
'x,y,z'
loop_
_atom_site_label
_atom_site_fract_x
_atom_site_fract_y
_atom_site_fract_z
_atom_site_occupancy
Li1 0.0000 0.0000 0.0000 1
Hg1 0.2500 0.2500 0.2500 1
Mo1 0.5000 0.5000 0.5000 1
Mo2 0.7500 0.7500 0.7500 1
# Crystal system: cubic
# Spin magnetization: 0.0049 μB per atom
# Calculated total energy: -21.92 eV/cell


[2]
# PBE-GGA LiCoSnW, relaxed
data_LiCoSnW
_space_group_name_H-M_alt 'P 1'
_space_group_IT_number 1
_cell_length_a 4.4141
_cell_length_b 4.4141
_cell_length_c 4.4141
_cell_angle_alpha 60.00
_cell_angle_beta 60.00
_cell_angle_gamma 60.00
loop_
_space_group_symop_operation_xyz
'x,y,z'
loop_
_atom_site_label
_atom_site_fract_x
_atom_site_fract_y
_atom_site_fract_z
_atom_site_occupancy
Li1 0.0000 0.0000 0.0000 1
Co1 0.7500 0.7500 0.7500 1
Sn1 0.5000 0.5000 0.5000 1
W1 0.2500 0.2500 0.2500 1
# Offset from the most stable computed form: 302.3 meV/atom
# Crystal system: cubic
# Spin magnetization: 0.6180 μB per atom


[3]
# PBE-GGA Pa4Zn2B, relaxed
data_Pa4Zn2B
_space_group_name_H-M_alt 'P 1'
_space_group_IT_number 1
_cell_length_a 5.8844
_cell_length_b 5.8844
_cell_length_c 5.8844
_cell_angle_alpha 109.91
_cell_angle_beta 109.91
_cell_angle_gamma 108.59
loop_
_space_group_symop_operation_xyz
'x,y,z'
loop_
_atom_site_label
_atom_site_fract_x
_atom_site_fract_y
_atom_site_fract_z
_atom_site_occupancy
Pa1 0.2386 0.2386 0.4772 1
Pa2 0.2386 0.7614 0.0000 1
Pa3 0.7614 0.2386 0.0000 1
Pa4 0.7614 0.7614 0.5228 1
Zn1 0.2500 0.7500 0.5000 1
Zn2 0.7500 0.2500 0.5000 1
B1 0.5000 0.5000 0.0000 1
# Crystal system: tetragonal
# Spin magnetization: 0.0043 μB per atom
# Calculated total energy: -43.83 eV/cell


[4]
# PBE-GGA Dy2Ho2In, relaxed
data_Dy2Ho2In
_space_group_name_H-M_alt 'P 1'
_space_group_IT_number 1
_cell_length_a 8.1445
_cell_length_b 8.1445
_cell_length_c 4.5635
_cell_angle_alpha 90.00
_cell_angle_beta 90.00
_cell_angle_gamma 90.00
loop_
_space_group_symop_operation_xyz
'x,y,z'
loop_
_atom_site_label
_atom_site_fract_x
_atom_site_fract_y
_atom_site_fract_z
_atom_site_occupancy
Dy1 0.1523 0.3477 0.0000 1
Dy2 0.3477 0.8477 0.0000 1
Dy3 0.6523 0.1523 0.0000 1
Dy4 0.8477 0.6523 0.0000 1
Ho1 0.1481 0.6481 0.5000 1
Ho2 0.3519 0.1481 0.5000 1
Ho3 0.6481 0.8519 0.5000 1
Ho4 0.8519 0.3519 0.5000 1
In1 0.0000 0.0000 0.5000 1
In2 0.5000 0.5000 0.5000 1
# Crystal system: tetragonal
# Spin magnetization: 0.0009 μB per atom
# Calculated total energy: -42.06 eV/cell


[5]
# PBE-GGA TaNbFeSi, relaxed
data_TaNbFeSi
_space_group_name_H-M_alt 'P 1'
_space_group_IT_number 1
_cell_length_a 4.3788
_cell_length_b 4.3788
_cell_length_c 4.3788
_cell_angle_alpha 60.00
_cell_angle_beta 60.00
_cell_angle_gamma 60.00
loop_
_space_group_symop_operation_xyz
'x,y,z'
loop_
_atom_site_label
_atom_site_fract_x
_atom_site_fract_y
_atom_site_fract_z
_atom_site_occupancy
Ta1 0.0000 0.0000 0.0000 1
Nb1 0.2500 0.2500 0.2500 1
Fe1 0.7500 0.7500 0.7500 1
Si1 0.5000 0.5000 0.5000 1
# Offset from the most stable computed form: 0.0 meV/atom
# Crystal system: cubic
# Spin magnetization: 0.4925 μB per atom


[6]
# PBE-GGA InAg3Te4Ir, relaxed
data_InAg3Te4Ir
_space_group_name_H-M_alt 'P 1'
_space_group_IT_number 1
_cell_length_a 6.5618
_cell_length_b 6.5618
_cell_length_c 6.5618
_cell_angle_alpha 90.00
_cell_angle_beta 90.00
_cell_angle_gamma 90.00
loop_
_space_group_symop_operation_xyz
'x,y,z'
loop_
_atom_site_label
_atom_site_fract_x
_atom_site_fract_y
_atom_site_fract_z
_atom_site_occupancy
In1 0.0000 0.0000 0.0000 1
Ag1 0.0000 0.5000 0.5000 1
Ag2 0.5000 0.0000 0.5000 1
Ag3 0.5000 0.5000 0.0000 1
Te1 0.2671 0.2671 0.2671 1
Te2 0.2671 0.7329 0.7329 1
Te3 0.7329 0.2671 0.7329 1
Te4 0.7329 0.7329 0.2671 1
Ir1 0.5000 0.5000 0.5000 1
# Crystal system: cubic
# Spin magnetization: 0.0003 μB per atom
# Calculated total energy: -31.89 eV/cell


[7]
# PBE-GGA LuRe2Te, relaxed
data_LuRe2Te
_space_group_name_H-M_alt 'P 1'
_space_group_IT_number 1
_cell_length_a 4.7392
_cell_length_b 4.7392
_cell_length_c 4.7392
_cell_angle_alpha 60.00
_cell_angle_beta 60.00
_cell_angle_gamma 60.00
loop_
_space_group_symop_operation_xyz
'x,y,z'
loop_
_atom_site_label
_atom_site_fract_x
_atom_site_fract_y
_atom_site_fract_z
_atom_site_occupancy
Lu1 0.0000 0.0000 0.0000 1
Re1 0.2500 0.2500 0.2500 1
Re2 0.5000 0.5000 0.5000 1
Te1 0.7500 0.7500 0.7500 1
# Crystal system: cubic
# Spin magnetization: 0.0049 μB per atom
# Calculated total energy: -30.03 eV/cell


[8]
# PBE-GGA Cs2AgPbF6, relaxed
data_Cs2AgPbF6
_space_group_name_H-M_alt 'P 1'
_space_group_IT_number 1
_cell_length_a 6.3721
_cell_length_b 6.3721
_cell_length_c 6.3721
_cell_angle_alpha 60.07
_cell_angle_beta 60.07
_cell_angle_gamma 60.07
loop_
_space_group_symop_operation_xyz
'x,y,z'
loop_
_atom_site_label
_atom_site_fract_x
_atom_site_fract_y
_atom_site_fract_z
_atom_site_occupancy
Cs1 0.2500 0.2500 0.2500 1
Cs2 0.7500 0.7500 0.7500 1
Ag1 0.0000 0.0000 0.0000 1
Pb1 0.5000 0.5000 0.5000 1
F1 0.2474 0.2474 0.7517 1
F2 0.2474 0.7517 0.2474 1
F3 0.2483 0.7526 0.7526 1
F4 0.7517 0.2474 0.2474 1
F5 0.7526 0.2483 0.7526 1
F6 0.7526 0.7526 0.2483 1
# Offset from the most stable computed form: 25.8 meV/atom
# Crystal system: trigonal